The following is a GGA-PBE calculation of crystalline CuGeTe2I at its relaxed geometry, from the Alexandria database.

Calculated values
Energy = -2.870 eV per atom
Formation energy (no corrections) = 0.4390 eV per atom
DOS(E_F) = 3.25 states/eV/f.u.

Lattice parameters (Å, degrees): 5.217 5.217 5.235 90.00 90.00 90.00
Element x y z (fractional)
Cu  0.000  0.000  0.000
Ge  0.500  0.500  0.500
Te  0.000  0.500  0.000
Te  0.500  0.000  0.000
I  0.000  0.000  0.500

---

The following is a GGA-PBE calculation of crystalline Tl2CuGeI5 at its relaxed geometry, from the Alexandria database.

Calculated values
Energy = -2.776 eV per atom
Formation energy (no corrections) = -0.4207 eV per atom

Lattice parameters (Å, degrees): 10.423 10.423 14.930 90.00 90.00 155.37
Element x y z (fractional)
Tl  0.099  0.901  0.500
Tl  0.130  0.870  0.142
Tl  0.870  0.130  0.642
Tl  0.901  0.099  0.000
Cu  0.436  0.564  0.265
Cu  0.564  0.436  0.765
Ge  0.206  0.794  0.848
Ge  0.794  0.206  0.348
I  0.050  0.950  0.859
I  0.285  0.715  0.486
I  0.309  0.691  0.208
I  0.349  0.651  0.827
I  0.498  0.502  0.615
I  0.502  0.498  0.115
I  0.651  0.349  0.327
I  0.691  0.309  0.708
I  0.715  0.285  0.986
I  0.950  0.050  0.359

---

The following is a GGA-PBE calculation of crystalline InCuGe at its relaxed geometry, from the Alexandria database.

Calculated values
Energy = -3.680 eV per atom
DOS(E_F) = 0.93 states/eV/f.u.
Formation energy = 40 kJ/mol of formula units

Lattice parameters (Å, degrees): 6.074 3.145 6.796 90.00 116.52 90.00
Element x y z (fractional)
In  0.139  0.000  0.278
In  0.861  0.000  0.722
Cu  0.280  0.500  0.000
Cu  0.720  0.500  0.000
Ge  0.369  0.000  0.736
Ge  0.631  0.000  0.264

---

The following is a GGA-PBE calculation of crystalline In2CuGe2 at its relaxed geometry, from the Alexandria database.

Calculated values
Energy = -3.447 eV per atom
DOS(E_F) = 2.10 states/eV/f.u.
Formation energy = 152 kJ/mol of formula units

Lattice parameters (Å, degrees): 7.258 7.258 4.262 90.00 90.00 90.00
Element x y z (fractional)
In  0.172  0.328  0.000
In  0.328  0.828  0.000
In  0.672  0.172  0.000
In  0.828  0.672  0.000
Cu  0.000  0.000  0.000
Cu  0.500  0.500  0.000
Ge  0.128  0.628  0.500
Ge  0.372  0.128  0.500
Ge  0.628  0.872  0.500
Ge  0.872  0.372  0.500

---

The following is a GGA-PBE calculation of crystalline InCu2Ge2 at its relaxed geometry, from the Alexandria database.

Calculated values
Energy = -3.848 eV per atom
DOS(E_F) = 1.33 states/eV/f.u.
Formation energy = 89 kJ/mol of formula units

Lattice parameters (Å, degrees): 7.262 7.262 3.287 90.00 90.00 90.00
Element x y z (fractional)
In  0.000  0.000  0.000
In  0.500  0.500  0.000
Cu  0.124  0.376  0.000
Cu  0.376  0.876  0.000
Cu  0.624  0.124  0.000
Cu  0.876  0.624  0.000
Ge  0.169  0.669  0.500
Ge  0.331  0.169  0.500
Ge  0.669  0.831  0.500
Ge  0.831  0.331  0.500

---

The following is a GGA-PBE calculation of crystalline InCuGe at its relaxed geometry, from the Alexandria database.

Calculated values
Energy = -3.705 eV per atom
DOS(E_F) = 0.85 states/eV/f.u.
Formation energy = 33 kJ/mol of formula units

Lattice parameters (Å, degrees): 4.086 4.719 6.164 84.41 88.84 89.63
Element x y z (fractional)
In  0.243  0.280  0.352
In  0.757  0.720  0.648
Cu  0.249  0.661  0.976
Cu  0.751  0.339  0.024
Ge  0.258  0.172  0.816
Ge  0.742  0.828  0.184

---

The following is a GGA-PBE calculation of crystalline In2CuGe2 at its relaxed geometry, from the Alexandria database.

Calculated values
Energy = -3.608 eV per atom
DOS(E_F) = 2.20 states/eV/f.u.
Formation energy = 74 kJ/mol of formula units

Lattice parameters (Å, degrees): 6.483 6.483 5.084 90.00 90.00 90.00
Element x y z (fractional)
In  0.179  0.321  0.000
In  0.321  0.821  0.000
In  0.679  0.179  0.000
In  0.821  0.679  0.000
Cu  0.000  0.000  0.500
Cu  0.500  0.500  0.500
Ge  0.144  0.644  0.500
Ge  0.356  0.144  0.500
Ge  0.644  0.856  0.500
Ge  0.856  0.356  0.500

---

The following is a GGA-PBE calculation of crystalline InCuGe at its relaxed geometry, from the Alexandria database.

Calculated values
Energy = -3.691 eV per atom
DOS(E_F) = 1.22 states/eV/f.u.
Formation energy = 37 kJ/mol of formula units

Lattice parameters (Å, degrees): 4.288 4.291 6.829 72.99 72.98 87.65
Element x y z (fractional)
In  0.000  0.000  0.000
In  0.287  0.287  0.386
Cu  0.142  0.640  0.694
Cu  0.645  0.150  0.692
Ge  0.526  0.531  0.939
Ge  0.760  0.765  0.447

---

The following is a GGA-PBE calculation of crystalline InCu4Ge at its relaxed geometry, from the Alexandria database.

Calculated values
Energy = -3.816 eV per atom
DOS(E_F) = 1.41 states/eV/f.u.
Formation energy = 81 kJ/mol of formula units

Lattice parameters (Å, degrees): 6.969 6.969 5.155 111.65 111.65 53.29
Element x y z (fractional)
In  0.207  0.207  0.301
In  0.793  0.793  0.699
Cu  0.086  0.684  0.313
Cu  0.192  0.808  0.000
Cu  0.310  0.310  0.908
Cu  0.316  0.914  0.687
Cu  0.684  0.086  0.313
Cu  0.690  0.690  0.092
Cu  0.808  0.192  0.000
Cu  0.914  0.316  0.687
Ge  0.460  0.460  0.693
Ge  0.540  0.540  0.307

---

The following is a GGA-PBE calculation of crystalline InCuGe at its relaxed geometry, from the Alexandria database.

Calculated values
Energy = -3.676 eV per atom
DOS(E_F) = 1.11 states/eV/f.u.
Formation energy = 41 kJ/mol of formula units

Lattice parameters (Å, degrees): 5.904 3.181 6.034 90.00 93.07 90.00
Element x y z (fractional)
In  0.243  0.250  0.422
In  0.757  0.750  0.578
Cu  0.490  0.250  0.835
Cu  0.510  0.750  0.165
Ge  0.160  0.750  0.886
Ge  0.840  0.250  0.114

---

The following is a GGA-PBE calculation of crystalline InCuGe at its relaxed geometry, from the Alexandria database.

Calculated values
Energy = -3.684 eV per atom
DOS(E_F) = 1.03 states/eV/f.u.
Formation energy = 39 kJ/mol of formula units

Lattice parameters (Å, degrees): 7.513 4.222 7.137 90.00 90.00 90.00
Element x y z (fractional)
In  0.009  0.250  0.195
In  0.491  0.750  0.695
In  0.509  0.250  0.305
In  0.991  0.750  0.805
Cu  0.103  0.250  0.572
Cu  0.397  0.750  0.072
Cu  0.603  0.250  0.928
Cu  0.897  0.750  0.428
Ge  0.245  0.750  0.401
Ge  0.255  0.250  0.901
Ge  0.745  0.750  0.099
Ge  0.755  0.250  0.599

---

The following is a GGA-PBE calculation of crystalline InCu6Ge at its relaxed geometry, from the Alexandria database.

Calculated values
Energy = -3.965 eV per atom
DOS(E_F) = 2.47 states/eV/f.u.
Formation energy = 21 kJ/mol of formula units

Lattice parameters (Å, degrees): 5.457 5.457 4.244 90.00 90.00 120.00
Element x y z (fractional)
In  0.000  0.000  0.000
Cu  0.353  0.176  0.500
Cu  0.502  0.005  0.000
Cu  0.502  0.498  0.000
Cu  0.824  0.176  0.500
Cu  0.824  0.647  0.500
Cu  0.995  0.498  0.000
Ge  0.333  0.667  0.500